This record from the Open Quantum Materials Database describes a relaxed structure of DySi2NiOs. The functional is PBE-GGA.

Cell: 3.970 3.970 10.026 Å, 90.00 90.00 90.00°
Space group I-4m2 (No. 119)
Unique sites:
Dy1 0.000 0.000 0.000 [2 per cell]
Si1 0.000 0.000 0.378 [4 per cell]
Ni1 0.000 0.500 0.250 [2 per cell]
Os1 0.000 0.500 0.750 [2 per cell]



This record from the Open Quantum Materials Database describes a relaxed structure of PrDyNi2P4. The functional is PBE-GGA.

Cell: 3.758 3.758 9.726 Å, 90.00 90.00 90.00°
Space group P4mm (No. 99)
Unique sites:
Pr1 0.000 0.000 0.000 [1 per cell]
Dy1 0.500 0.500 0.532 [1 per cell]
Ni1 0.000 0.500 0.275 [2 per cell]
P1 0.000 0.000 0.406 [1 per cell]
P2 0.000 0.500 0.758 [2 per cell]
P3 0.500 0.500 0.146 [1 per cell]



M_tot list, top to bottom, in μB per formula unit: 0.0 0.0
E list, top to bottom, in eV/cell: -72.3 -49.8